RbTl2Ga | PBE | relaxed

Cell lengths 3.847, 3.847, 8.774 Å; angles 90.00, 90.00, 90.00 degrees
Element x y z (fractional)
Rb: 0.000 0.000 0.000
Tl: 0.500 0.500 0.313
Tl: 0.500 0.500 0.687
Ga: 0.000 0.000 0.500

Summary:
**Fermi-level density of states**: 2.08 states/eV/f.u.
**Excess energy over the best structure of this formula in the dataset**: 33 meV/atom
**E_form**: -0.025 eV per atom
**Space-group type**: P4/mmm, No. 123

MgZnPCl2 | PBE | relaxed

Cell lengths 4.750, 4.750, 5.080 Å; angles 90.00, 90.00, 90.00 degrees
Element x y z (fractional)
Mg: 0.000 0.000 0.000
Zn: 0.500 0.500 0.500
P: 0.500 0.500 0.000
Cl: 0.000 0.500 0.500
Cl: 0.500 0.000 0.500

Summary:
**Fermi-level density of states**: 2.18 states/eV/f.u.
**Raw formation energy**: -0.1443 eV/atom
**Excess energy over the best structure of this formula in the dataset**: 84 meV/atom
**Space-group type**: P4/mmm, No. 123

CsLiAgTe2 | PBE | relaxed

Cell lengths 7.550, 7.550, 7.550 Å; angles 142.22, 142.22, 54.50 degrees
Element x y z (fractional)
Cs: 0.000 0.000 0.000
Li: 0.750 0.250 0.500
Ag: 0.250 0.750 0.500
Te: 0.359 0.359 0.000
Te: 0.641 0.641 0.000

Summary:
**Fermi-level density of states**: 3.70 states/eV/f.u.
**Raw formation energy**: -0.6774 eV/atom
**Excess energy over the best structure of this formula in the dataset**: 0 meV/atom
**Space-group type**: I-4m2, No. 119

Which mass density belongs to each record? In order, 7.2, 2.8, 5.2 Mg/m³.